Entry from the Alexandria database: an optimized crystal structure of RbTc2MoO8 (PBE+U).

Calculated total energy ... -7.2207 eV/atom

Unit cell a=5.8494 b=5.8494 c=7.8381 alpha=90.00 beta=90.00 gamma=120.00
With the nearest neighbours (Å) after each atom.
Sites, in units of the cell vectors:
Rb (0.0000, 0.0000, 0.0000)  12 O 3.16-3.39
O (0.1627, 0.3320, 0.6591)  1 Tc 1.80
O (0.6667, 0.3333, 0.0415)  1 Tc 1.75
O (0.1693, 0.8373, 0.6591)  1 Tc 1.80
Tc (0.6667, 0.3333, 0.2646)  4 O 1.75-1.80
Tc (0.3333, 0.6667, 0.7354)  4 O 1.75-1.80
O (0.6680, 0.8307, 0.6591)  1 Tc 1.80
O (0.3320, 0.1693, 0.3409)  1 Tc 1.80
O (0.8373, 0.6680, 0.3409)  1 Tc 1.80
Mo (0.0000, 0.0000, 0.5000)  6 O 2.09
O (0.8307, 0.1627, 0.3409)  1 Tc 1.80
O (0.3333, 0.6667, 0.9585)  1 Tc 1.75